1.
A plane-wave DFT calculation with GGA-PBE was carried out for a relaxed structure of CoCuBi2S.

Properties
The calculation puts the uncorrected formation energy at 0.35 eV per atom.

a b c (Å): 5.438 5.438 3.932
angles (deg): 90.00 90.00 90.00
Space group P4/mmm (No. 123)
Inequivalent atoms, fractional coordinates:
Co  0.000  0.000  0.000 (multiplicity 1)
Cu  0.500  0.500  0.500 (multiplicity 1)
Bi  0.000  0.500  0.000 (multiplicity 2)
S  0.000  0.000  0.500 (multiplicity 1)

2.
A plane-wave DFT calculation with GGA-PBE was carried out for a relaxed structure of PuTh4Sc.

Properties
The value obtained for the formation energy is 152 meV/atom.

a b c (Å): 9.059 5.777 6.925
angles (deg): 90.00 97.70 90.00
Space group C2/m (No. 12)
Inequivalent atoms, fractional coordinates:
Pu  0.000  0.000  0.000 (multiplicity 2)
Th  0.169  0.500  0.146 (multiplicity 4)
Th  0.170  0.500  0.653 (multiplicity 4)
Sc  0.000  0.000  0.500 (multiplicity 2)

Number 1: magnetization 0.00 μB/f.u., total DFT energy (no corrections) -0.3137 Ry per atom, D(E_F) 0.826 states/eV/atom. Number 2: magnetization 6.47 μB/f.u., total DFT energy (no corrections) -0.6055 Ry per atom, D(E_F) 2.459 states/eV/atom.